The following is a DFT calculation (PBE) of a relaxed structure of Nd2CdSe.

```
data_Nd2CdSe
_chemical_formula_sum 'Nd6 Cd3 Se3'
_space_group_name_H-M_alt 'R 3 m'
_space_group_IT_number 160
_space_group_name_Hall 'R 3 -2"'
_cell_length_a 4.0851
_cell_length_b 4.0851
_cell_length_c 24.6058
_cell_angle_alpha 90.00
_cell_angle_beta 90.00
_cell_angle_gamma 120.00
loop_
_atom_site_label
_atom_site_type_symbol
_atom_site_fract_x
_atom_site_fract_y
_atom_site_fract_z
Nd1 Nd 0.0000 0.0000 0.0000
Nd2 Nd 0.0000 0.0000 0.1892
Cd1 Cd 0.0000 0.0000 0.7612
Se1 Se 0.0000 0.0000 0.5931
```

Output
ΔE_f (raw) = -945 meV/atom
crystal system = trigonal
polymorph energy (0 for the lowest one) = 68 meV/atom